[1]
ZnAg2Sb at its PBEsol-relaxed geometry. Source: the Alexandria database, functional SCAN.

Results
density of states at the Fermi level: 1.220 states/eV/cell
crystal system: monoclinic
formation energy from raw total energies: 0.1224 eV/atom
excess energy over the best structure of this formula in the dataset: 35 meV per atom

Lattice parameters (Å, degrees): 3.0769 3.6035 6.6526 90.00 90.32 90.00
With the nearest neighbours (Å) after each atom.
Space group P2/m (No. 10)
Inequivalent atoms, fractional coordinates:
Zn1 0.0000 0.0000 0.0000 x1  8 Ag 2.75
Ag1 0.4984 0.5000 0.7909 x2  4 Zn 2.75, 1 Ag 2.78, 4 Sb 3.05-3.07
Sb1 0.0000 0.0000 0.5000 x1  8 Ag 3.05-3.07, 2 Sb 3.08, 2 Zn 3.33

[2]
MgCoOs3 at its PBEsol-relaxed geometry. Source: the Alexandria database, functional SCAN.

Results
density of states at the Fermi level: 4.311 states/eV/cell
crystal system: cubic
formation energy: 2.600 eV/atom

Lattice parameters (Å, degrees): 4.3415 4.3415 4.3415 90.00 90.00 90.00
With the nearest neighbours (Å) after each atom.
Space group Pm-3m (No. 221)
Inequivalent atoms, fractional coordinates:
Mg1 0.0000 0.0000 0.0000 x1  6 Os 2.17
Co1 0.5000 0.5000 0.5000 x1  12 Os 3.07
Os1 0.0000 0.0000 0.5000 x3  2 Mg 2.17

[3]
KZnFe at its PBEsol-relaxed geometry. Source: the Alexandria database, functional SCAN.

Results
density of states at the Fermi level: 1.535 states/eV/cell
crystal system: trigonal
formation energy: 0.786 eV/atom
excess energy over the best structure of this formula in the dataset: 0 meV per atom

Lattice parameters (Å, degrees): 2.8290 2.8290 7.7439 90.00 90.00 120.00
With the nearest neighbours (Å) after each atom.
Space group P3m1 (No. 156)
Inequivalent atoms, fractional coordinates:
K1 0.0000 0.0000 0.0000 x1  6 K 2.83
Zn1 0.3333 0.6667 0.6192 x1  3 Fe 2.57, 6 Zn 2.83
Fe1 0.6667 0.3333 0.3626 x1  3 Zn 2.57, 6 Fe 2.83